(1)
The following is a PBE-GGA calculation of SrZnS2Cl after structural relaxation, from the Alexandria database.

Calculated values
Magnetic moment, μB/f.u.: 0.00
Formation energy from raw total energies, eV/atom: -1.05
D(E_F), states/eV per cell: 2.4

a b c (Å): 4.6987 4.6987 5.1604
angles (deg): 90.00 90.00 90.00
Element x y z (fractional)
S (0.5000, 0.0000, 0.0000)
S (0.0000, 0.5000, 0.0000)
Zn (0.0000, 0.0000, 0.0000)
Sr (0.5000, 0.5000, 0.5000)
Cl (0.0000, 0.0000, 0.5000)


(2)
The following is a PBE-GGA calculation of TaS2Cl after structural relaxation, from the Alexandria database.

Calculated values
Magnetic moment, μB/f.u.: 0.00
Formation energy from raw total energies, eV/atom: -0.39
D(E_F), states/eV per cell: 0.0

a b c (Å): 6.5908 6.5908 6.7693
angles (deg): 60.87 60.87 90.00
Element x y z (fractional)
Cl (0.5000, 0.5000, 0.0000)
S (0.8750, 0.9664, 0.7500)
S (0.0336, 0.6250, 0.2500)
Ta (0.0000, 0.0000, 0.0000)
S (0.3750, 0.2836, 0.7500)
S (0.7164, 0.1250, 0.2500)
Cl (0.2500, 0.7500, 0.5000)
Ta (0.7500, 0.2500, 0.5000)


(3)
The following is a PBE-GGA calculation of TaS2Cl after structural relaxation, from the Alexandria database.

Calculated values
Magnetic moment, μB/f.u.: 0.00
Formation energy from raw total energies, eV/atom: -0.65
D(E_F), states/eV per cell: 0.6

a b c (Å): 8.1445 8.1445 8.1445
angles (deg): 24.25 24.25 24.25
Element x y z (fractional)
S (0.1034, 0.1034, 0.1034)
S (0.8966, 0.8966, 0.8966)
Cl (0.0000, 0.0000, 0.0000)
Ta (0.5000, 0.5000, 0.5000)


(4)
The following is a PBE-GGA calculation of Ta2SCl after structural relaxation, from the Alexandria database.

Calculated values
Magnetic moment, μB/f.u.: 0.00
Formation energy from raw total energies, eV/atom: 0.33
D(E_F), states/eV per cell: 5.7

a b c (Å): 6.9493 6.9493 5.7499
angles (deg): 52.82 52.82 90.00
Element x y z (fractional)
Ta (0.5849, 0.1250, 0.2500)
Ta (0.1651, 0.6250, 0.2500)
Cl (0.7500, 0.2500, 0.5000)
Cl (0.0000, 0.0000, 0.0000)
Ta (0.3750, 0.4151, 0.7500)
S (0.5000, 0.5000, 0.0000)
Ta (0.8750, 0.8349, 0.7500)
S (0.2500, 0.7500, 0.5000)


(5)
The following is a PBE-GGA calculation of Ta4S8Cl after structural relaxation, from the Alexandria database.

Calculated values
Magnetic moment, μB/f.u.: 2.05
Formation energy from raw total energies, eV/atom: -0.90
D(E_F), states/eV per cell: 25.3

a b c (Å): 6.6727 6.6727 16.9572
angles (deg): 90.00 90.00 120.00
Last column: magnetic moment on the atom in μB.
Element x y z (fractional)
Ta (0.0000, 0.0000, 0.2500)  0.27
S (0.6670, 0.8335, 0.6574)  0.02
S (0.3333, 0.6667, 0.3424)  0.01
Ta (0.5008, 0.0017, 0.2500)  0.21
S (0.1665, 0.8335, 0.6574)  0.02
Ta (0.0000, 0.0000, 0.7500)  0.27
S (0.1665, 0.3330, 0.6574)  0.02
Ta (0.4992, 0.9983, 0.7500)  0.21
S (0.8335, 0.6670, 0.1574)  0.02
S (0.8335, 0.1665, 0.1574)  0.02
Ta (0.5008, 0.4992, 0.2500)  0.21
S (0.6670, 0.8335, 0.8426)  0.02
S (0.3330, 0.1665, 0.3426)  0.02
Cl (0.0000, 0.0000, 0.5000)  0.31
S (0.8335, 0.6670, 0.3426)  0.02
S (0.3333, 0.6667, 0.1576)  0.01
Ta (0.9983, 0.4992, 0.2500)  0.21
S (0.6667, 0.3333, 0.6576)  0.01
S (0.1665, 0.3330, 0.8426)  0.02
S (0.6667, 0.3333, 0.8424)  0.01
S (0.8335, 0.1665, 0.3426)  0.02
Cl (0.0000, 0.0000, 0.0000)  0.31
Ta (0.0017, 0.5008, 0.7500)  0.21
Ta (0.4992, 0.5008, 0.7500)  0.21
S (0.1665, 0.8335, 0.8426)  0.02
S (0.3330, 0.1665, 0.1574)  0.02


(6)
The following is a PBE-GGA calculation of TaS2Cl6 after structural relaxation, from the Alexandria database.

Calculated values
Magnetic moment, μB/f.u.: 1.01
Formation energy from raw total energies, eV/atom: -0.83
D(E_F), states/eV per cell: 3.1

a b c (Å): 7.8717 7.8717 7.4532
angles (deg): 58.12 58.12 60.00
Last column: magnetic moment on the atom in μB.
Element x y z (fractional)
Cl (0.8763, 0.4451, 0.8025)  0.00
Cl (0.4374, 0.8556, 0.2695)  0.00
Ta (0.6625, 0.6625, 0.0125)  0.02
Cl (0.8760, 0.8763, 0.8025)  0.00
Cl (0.4375, 0.4374, 0.2695)  0.00
S (0.4243, 0.4243, 0.7272)  0.29
S (0.3196, 0.3196, 0.0412)  0.31
Cl (0.4451, 0.8760, 0.8025)  0.00
Cl (0.8556, 0.4375, 0.2695)  0.00


(7)
The following is a PBE-GGA calculation of TaS2Cl after structural relaxation, from the Alexandria database.

Calculated values
Magnetic moment, μB/f.u.: 0.00
Formation energy from raw total energies, eV/atom: -0.97

a b c (Å): 5.9247 6.2142 10.4403
angles (deg): 90.00 90.00 90.00
Element x y z (fractional)
S (0.7313, 0.9304, 0.9172)
Ta (0.0000, 0.7500, 0.4376)
Cl (0.7499, 0.8907, 0.2500)
Ta (0.0000, 0.2500, 0.5624)
Cl (0.7501, 0.3907, 0.7500)
S (0.7687, 0.4304, 0.4172)
S (0.2313, 0.5696, 0.5828)
S (0.2687, 0.0696, 0.0828)
Ta (0.5000, 0.2500, 0.9376)
Cl (0.2501, 0.1093, 0.7500)
Ta (0.5000, 0.7500, 0.0624)
S (0.2687, 0.5696, 0.9172)
S (0.7687, 0.9304, 0.5828)
S (0.2313, 0.0696, 0.4172)
Cl (0.2499, 0.6093, 0.2500)
S (0.7313, 0.4304, 0.0828)


(8)
The following is a PBE-GGA calculation of Ta2SCl after structural relaxation, from the Alexandria database.

Calculated values
Magnetic moment, μB/f.u.: 0.00
Formation energy from raw total energies, eV/atom: 0.23
D(E_F), states/eV per cell: 4.5

a b c (Å): 4.4006 4.4006 4.4006
angles (deg): 60.00 60.00 60.00
Element x y z (fractional)
S (0.0000, 0.0000, 0.0000)
Ta (0.2500, 0.2500, 0.2500)
Ta (0.7500, 0.7500, 0.7500)
Cl (0.5000, 0.5000, 0.5000)